(1)
An optimized crystal structure of LiEuLuSn, computed with PBE-GGA.

abc: 5.3083 5.3083 5.3083
angles: 60.00 60.00 60.00
Closest atoms and distances in Å follow each position.
Sites, in units of the cell vectors:
Li 0.0000 0.0000 0.0000  4 Lu 3.25, 4 Eu 3.25
Eu 0.7500 0.7500 0.7500  4 Sn 3.25, 4 Li 3.25
Lu 0.2500 0.2500 0.2500  4 Sn 3.25, 4 Li 3.25
Sn 0.5000 0.5000 0.5000  4 Eu 3.25, 4 Lu 3.25

Results
DOS at the Fermi energy = 7.560 states/eV/f.u.
Energy of formation from the pure elements = -369 meV per atom
Size of the total moment = 1.849 μB per atom
SG = No. 216


(2)
An optimized crystal structure of LiEuYLu, computed with PBE-GGA.

abc: 5.5838 5.5838 5.5838
angles: 60.00 60.00 60.00
Closest atoms and distances in Å follow each position.
Sites, in units of the cell vectors:
Li 0.0000 0.0000 0.0000  4 Y 3.42, 4 Eu 3.42
Eu 0.7500 0.7500 0.7500  4 Lu 3.42, 4 Li 3.42
Y 0.2500 0.2500 0.2500  4 Li 3.42, 4 Lu 3.42
Lu 0.5000 0.5000 0.5000  4 Eu 3.42, 4 Y 3.42

Results
DOS at the Fermi energy = 4.052 states/eV/f.u.
Energy of formation from the pure elements = 199 meV per atom
Size of the total moment = 1.788 μB per atom
SG = No. 216


(3)
An optimized crystal structure of LiEu2Mg, computed with PBE-GGA.

abc: 4.0309 4.0309 8.0974
angles: 90.00 90.00 90.00
Closest atoms and distances in Å follow each position.
Sites, in units of the cell vectors:
Li 0.0000 0.0000 0.0000  8 Eu 3.50
Eu 0.5000 0.5000 0.2514  4 Mg 3.49, 4 Li 3.50
Eu 0.5000 0.5000 0.7486  4 Mg 3.49, 4 Li 3.50
Mg 0.0000 0.0000 0.5000  8 Eu 3.49

Results
DOS at the Fermi energy = 17.462 states/eV/f.u.
Energy of formation from the pure elements = -16 meV per atom
Size of the total moment = 3.682 μB per atom
SG = No. 123


(4)
An optimized crystal structure of NaLiEuMg, computed with PBE-GGA.

abc: 5.5294 5.5294 5.5294
angles: 60.00 60.00 60.00
Closest atoms and distances in Å follow each position.
Sites, in units of the cell vectors:
Na 0.0000 0.0000 0.0000  4 Mg 3.39, 4 Eu 3.39
Li 0.5000 0.5000 0.5000  4 Mg 3.39, 4 Eu 3.39
Eu 0.2500 0.2500 0.2500  4 Li 3.39, 4 Na 3.39
Mg 0.7500 0.7500 0.7500  4 Na 3.39, 4 Li 3.39

Results
DOS at the Fermi energy = 11.702 states/eV/f.u.
Energy of formation from the pure elements = 94 meV per atom
Size of the total moment = 1.883 μB per atom
SG = No. 216


(5)
An optimized crystal structure of LiEuMgNi, computed with PBE-GGA.

abc: 4.8641 4.8641 4.8641
angles: 60.00 60.00 60.00
Closest atoms and distances in Å follow each position.
Sites, in units of the cell vectors:
Li 0.0000 0.0000 0.0000  4 Mg 2.98, 4 Eu 2.98
Eu 0.2500 0.2500 0.2500  4 Ni 2.98, 4 Li 2.98
Mg 0.7500 0.7500 0.7500  4 Ni 2.98, 4 Li 2.98
Ni 0.5000 0.5000 0.5000  4 Mg 2.98, 4 Eu 2.98

Results
DOS at the Fermi energy = 6.130 states/eV/f.u.
Energy of formation from the pure elements = -12 meV per atom
Size of the total moment = 1.777 μB per atom
SG = No. 216


(6)
An optimized crystal structure of LiEuMgPb, computed with PBE-GGA.

abc: 5.3112 5.3112 5.3112
angles: 60.00 60.00 60.00
Closest atoms and distances in Å follow each position.
Sites, in units of the cell vectors:
Li 0.0000 0.0000 0.0000  4 Eu 3.25, 4 Mg 3.25
Eu 0.2500 0.2500 0.2500  4 Pb 3.25, 4 Li 3.25
Mg 0.7500 0.7500 0.7500  4 Li 3.25, 4 Pb 3.25
Pb 0.5000 0.5000 0.5000  4 Mg 3.25, 4 Eu 3.25

Results
DOS at the Fermi energy = 2.210 states/eV/f.u.
Energy of formation from the pure elements = -268 meV per atom
Size of the total moment = 1.852 μB per atom
SG = No. 216


(7)
An optimized crystal structure of LiPmEuMg, computed with PBE-GGA.

abc: 5.5511 5.5511 5.5511
angles: 60.00 60.00 60.00
Closest atoms and distances in Å follow each position.
Sites, in units of the cell vectors:
Li 0.0000 0.0000 0.0000  4 Pm 3.40, 4 Eu 3.40
Pm 0.7500 0.7500 0.7500  4 Mg 3.40, 4 Li 3.40
Eu 0.2500 0.2500 0.2500  4 Mg 3.40, 4 Li 3.40
Mg 0.5000 0.5000 0.5000  4 Eu 3.40, 4 Pm 3.40

Results
DOS at the Fermi energy = 9.151 states/eV/f.u.
Energy of formation from the pure elements = 33 meV per atom
Size of the total moment = 1.893 μB per atom
SG = No. 216


(8)
An optimized crystal structure of LiEuMgPt, computed with PBE-GGA.

abc: 4.9093 4.9093 4.9093
angles: 60.00 60.00 60.00
Closest atoms and distances in Å follow each position.
Sites, in units of the cell vectors:
Li 0.0000 0.0000 0.0000  4 Mg 3.01, 4 Eu 3.01
Eu 0.7500 0.7500 0.7500  4 Pt 3.01, 4 Li 3.01
Mg 0.2500 0.2500 0.2500  4 Pt 3.01, 4 Li 3.01
Pt 0.5000 0.5000 0.5000  4 Eu 3.01, 4 Mg 3.01

Results
DOS at the Fermi energy = 5.441 states/eV/f.u.
Energy of formation from the pure elements = -513 meV per atom
Size of the total moment = 1.762 μB per atom
SG = No. 216